(1)
LaNbSeBr2: relaxed, GGA-PBE.

Results
Total magnetization in μB per formula unit: 4.00
Volume in Å³ per atom: 38.5
Calculated total energy in eV per cell: -22.83

abc: 5.747 5.747 5.825
angles: 90.00 90.00 90.00
Sites, in units of the cell vectors:
1 Nb 0.500 0.500 0.500
2 Se 0.000 0.000 0.500
3 Br 0.000 0.500 0.000
4 Br 0.500 0.000 0.000
5 La 0.000 0.000 0.000

---

(2)
Ta12Ga3Te8Se16: relaxed, GGA-PBE.

Results
Total magnetization in μB per formula unit: 2.15
Volume in Å³ per atom: 24.6
Calculated total energy in eV per cell: -257.22

abc: 7.625 7.698 18.782
angles: 90.74 89.97 119.55
Sites, in units of the cell vectors:
1 Ta 0.209 0.799 0.196
2 Ta 0.544 0.471 0.867
3 Ta 0.874 0.132 0.532
4 Ta 0.592 0.805 0.197
5 Ta 0.924 0.471 0.867
6 Ta 0.259 0.139 0.532
7 Ta 0.340 0.681 0.066
8 Ta 0.670 0.346 0.738
9 Ta 0.002 0.011 0.402
10 Ta 0.191 0.396 0.202
11 Ta 0.527 0.057 0.873
12 Ta 0.856 0.728 0.537
13 Ga 0.684 0.331 0.329
14 Ga 0.991 0.986 0.993
15 Ga 0.352 0.665 0.664
16 Te 0.974 0.484 0.623
17 Te 0.307 0.150 0.288
18 Te 0.332 0.662 0.803
19 Te 0.666 0.329 0.469
20 Te 0.996 0.995 0.133
21 Te 0.180 0.362 0.954
22 Te 0.517 0.034 0.622
23 Te 0.851 0.700 0.286
24 Se 0.496 0.489 0.123
25 Se 0.829 0.153 0.793
26 Se 0.162 0.821 0.459
27 Se 0.986 0.488 0.120
28 Se 0.319 0.153 0.794
29 Se 0.648 0.820 0.456
30 Se 0.332 0.665 0.298
31 Se 0.665 0.331 0.968
32 Se 0.000 0.998 0.633
33 Se 0.515 0.031 0.120
34 Se 0.847 0.699 0.790
35 Se 0.180 0.364 0.455
36 Se 0.179 0.813 0.954
37 Se 0.519 0.481 0.622
38 Se 0.852 0.148 0.286
39 Se 0.632 0.813 0.954

---

(3)
MoIr2Rh2: relaxed, GGA-PBE.

Results
Total magnetization in μB per formula unit: 0.00
Volume in Å³ per atom: 14.8
Calculated total energy in eV per cell: -43.24
E above lowest polymorph in eV/atom: 0.0000

abc: 2.734 4.167 6.835
angles: 107.75 90.00 90.00
Sites, in units of the cell vectors:
1 Mo 0.500 0.111 0.222
2 Ir 0.000 0.700 0.399
3 Ir 0.000 0.917 0.833
4 Rh 0.500 0.307 0.614
5 Rh 0.500 0.508 0.016

---

(4)
LaTl2GaI6: relaxed, GGA-PBE.

Results
Total magnetization in μB per formula unit: 0.00
Volume in Å³ per atom: 44.3
Calculated total energy in eV per cell: -62.75

abc: 8.234 8.960 12.029
angles: 90.00 87.06 90.00
Sites, in units of the cell vectors:
1 La 0.500 0.000 0.500
2 La 0.000 0.500 0.000
3 Tl 0.041 0.900 0.266
4 Tl 0.541 0.600 0.766
5 Tl 0.959 0.100 0.734
6 Tl 0.459 0.400 0.234
7 Ga 0.500 0.000 0.000
8 Ga 0.000 0.500 0.500
9 I 0.315 0.683 0.059
10 I 0.815 0.817 0.559
11 I 0.685 0.317 0.941
12 I 0.185 0.183 0.441
13 I 0.328 0.698 0.430
14 I 0.828 0.802 0.930
15 I 0.672 0.302 0.570
16 I 0.172 0.198 0.070
17 I 0.859 0.543 0.249
18 I 0.359 0.957 0.749
19 I 0.141 0.457 0.751
20 I 0.641 0.043 0.251

---

(5)
SrSiMo2As: relaxed, GGA-PBE.

Results
Total magnetization in μB per formula unit: 1.88
Volume in Å³ per atom: 23.4
Calculated total energy in eV per cell: -28.99

abc: 4.754 5.174 4.754
angles: 90.00 90.00 90.00
Sites, in units of the cell vectors:
1 Sr 0.500 0.500 0.500
2 Mo 0.000 0.000 0.500
3 Mo 0.500 0.000 0.000
4 Si 0.000 0.500 0.000
5 As 0.000 0.000 0.000

---

(6)
Ca3Pr3Pt4: relaxed, GGA-PBE.

Results
Total magnetization in μB per formula unit: 0.00
Volume in Å³ per atom: 26.0
Calculated total energy in eV per cell: -53.58

abc: 4.114 7.944 7.944
angles: 90.74 90.00 90.00
Sites, in units of the cell vectors:
1 Ca 0.000 0.494 0.997
2 Ca 0.000 0.003 0.506
3 Ca 0.500 0.162 0.838
4 Pr 0.500 0.842 0.158
5 Pr 0.500 0.339 0.340
6 Pr 0.500 0.660 0.661
7 Pt 0.000 0.639 0.361
8 Pt 0.000 0.369 0.631
9 Pt 0.000 0.859 0.868
10 Pt 0.000 0.132 0.141